1.
VASP calculation (GGA-PBE) on an optimized crystal structure of Li2Hg2Pb.

Calculated values
**Energy of formation**: -0.191 eV/atom

abc: 4.7356 4.7356 5.7484
angles: 90.00 90.00 120.00
Sites, in units of the cell vectors:
Li: 0.6667 0.3333 0.8167
Hg: 0.6667 0.3333 0.3330
Hg: 0.3333 0.6667 0.6670
Li: 0.3333 0.6667 0.1833
Pb: 0.0000 0.0000 0.0000

***

2.
VASP calculation (GGA-PBE) on an optimized crystal structure of Y2TiAlN.

Calculated values
**Formation energy from raw total energies**: 135 kJ/mol of atoms

abc: 5.2326 4.8551 5.2326
angles: 90.00 90.00 90.00
Sites, in units of the cell vectors:
Y: 0.0000 0.0000 0.5000
Ti: 0.0000 0.0000 0.0000
Y: 0.5000 0.0000 0.0000
N: 0.5000 0.5000 0.5000
Al: 0.0000 0.5000 0.0000

***

3.
VASP calculation (GGA-PBE) on an optimized crystal structure of BaTmAg.

Calculated values
**Energy of formation**: -0.127 eV/atom

abc: 5.0536 5.0536 8.1713
angles: 90.00 90.00 90.00
Sites, in units of the cell vectors:
Tm: 0.0000 0.0000 0.5000
Ag: 0.0000 0.5000 0.3021
Tm: 0.5000 0.5000 0.5000
Ba: 0.0000 0.5000 0.8670
Ag: 0.5000 0.0000 0.6979
Ba: 0.5000 0.0000 0.1330

***

4.
VASP calculation (GGA-PBE) on an optimized crystal structure of SrPr2UN4.

Calculated values
**Formation energy from raw total energies**: -117 kJ/mol of atoms

abc: 7.2473 7.2479 7.2500
angles: 120.01 120.01 89.92
Sites, in units of the cell vectors:
Sr: 0.0000 0.5000 0.0000
N: 0.2538 0.2462 0.0322
N: 0.7462 0.7538 0.5322
Sr: 0.0000 0.5000 0.5000
N: 0.7462 0.7538 0.9678
N: 0.2974 0.7187 0.5080
U: 0.5000 0.5000 0.5000
Pr: 0.5000 0.5000 0.0000
N: 0.2187 0.7974 0.0080
U: 0.0000 0.0000 0.0000
Pr: 0.0000 0.0000 0.5000
Pr: 0.5000 0.0000 0.0000
Pr: 0.5000 0.0000 0.5000
N: 0.7026 0.2813 0.4920
N: 0.2538 0.2462 0.4678
N: 0.7813 0.2026 0.9920

***

5.
VASP calculation (GGA-PBE) on an optimized crystal structure of Nd6Au3N.

Calculated values
**Formation energy from raw total energies**: -67 kJ/mol of atoms

abc: 6.7692 7.7599 10.4320
angles: 90.00 88.42 90.00
Sites, in units of the cell vectors:
Nd: 0.6913 0.1597 0.9407
Au: 0.0649 0.6059 0.2424
Au: 0.0000 0.0000 0.5000
Nd: 0.1410 0.2895 0.0665
Nd: 0.1913 0.3403 0.4407
Nd: 0.8541 0.9574 0.2284
Nd: 0.6459 0.4574 0.2716
Nd: 0.8590 0.7105 0.9335
Au: 0.5649 0.8941 0.7424
Nd: 0.3590 0.7895 0.4335
Nd: 0.3087 0.8403 0.0593
N: 0.5000 0.5000 0.5000
N: 0.0000 0.0000 0.0000
Au: 0.5000 0.5000 0.0000
Nd: 0.8087 0.6597 0.5593
Au: 0.4351 0.1059 0.2576
Au: 0.9351 0.3941 0.7576
Nd: 0.1459 0.0426 0.7716
Nd: 0.6410 0.2105 0.5665
Nd: 0.3541 0.5426 0.7284

***

6.
VASP calculation (GGA-PBE) on an optimized crystal structure of SrLa14Mg.

Calculated values
**Energy of formation**: 0.030 eV/atom

abc: 7.4536 7.4536 10.5244
angles: 90.00 90.00 90.00
Sites, in units of the cell vectors:
La: 0.3750 0.8750 0.5000
La: 0.1342 0.1342 0.7525
La: 0.6158 0.6158 0.7525
La: 0.6158 0.6158 0.2475
La: 0.3750 0.3750 0.0000
La: 0.6158 0.1342 0.7525
La: 0.8750 0.3750 0.5000
La: 0.8750 0.8750 0.0000
La: 0.8750 0.3750 0.0000
Mg: 0.3750 0.3750 0.5000
La: 0.1342 0.6158 0.2475
La: 0.1342 0.1342 0.2475
Sr: 0.8750 0.8750 0.5000
La: 0.1342 0.6158 0.7525
La: 0.6158 0.1342 0.2475
La: 0.3750 0.8750 0.0000

***

7.
VASP calculation (GGA-PBE) on an optimized crystal structure of NdHoCu3.

Calculated values
**Energy of formation**: -0.227 eV/atom

abc: 3.7344 4.3124 12.8828
angles: 90.00 98.33 90.00
Sites, in units of the cell vectors:
Ho: 0.7950 0.2500 0.5899
Cu: 0.5240 0.7500 0.0479
Ho: 0.2050 0.7500 0.4101
Cu: 0.3792 0.2500 0.7584
Cu: 0.6208 0.7500 0.2416
Cu: 0.6747 0.2500 0.3494
Nd: 0.9276 0.7500 0.8551
Cu: 0.4760 0.2500 0.9521
Nd: 0.0724 0.2500 0.1449
Cu: 0.3253 0.7500 0.6506

***

8.
VASP calculation (GGA-PBE) on an optimized crystal structure of ErIrO3.

Calculated values
**Formation energy from raw total energies**: -129 kJ/mol of atoms

abc: 3.9682 3.9682 3.9682
angles: 90.00 90.00 90.00
Sites, in units of the cell vectors:
Ir: 0.5000 0.5000 0.5000
O: 0.5000 0.5000 0.0000
O: 0.5000 0.0000 0.5000
Er: 0.0000 0.0000 0.0000
O: 0.0000 0.5000 0.5000

***

9.
VASP calculation (GGA-PBE) on an optimized crystal structure of Pm2Ga3SnRh4.

Calculated values
**Energy of formation**: -0.774 eV/atom

abc: 4.3520 4.3520 10.2328
angles: 90.00 90.00 90.00
Sites, in units of the cell vectors:
Rh: 0.0000 0.0000 0.0000
Rh: 0.5000 0.0000 0.6394
Rh: 0.5000 0.5000 0.0000
Ga: 0.5000 0.0000 0.8798
Sn: 0.5000 0.5000 0.5000
Pm: 0.5000 0.0000 0.2319
Ga: 0.0000 0.5000 0.1202
Pm: 0.0000 0.5000 0.7681
Ga: 0.0000 0.0000 0.5000
Rh: 0.0000 0.5000 0.3606

***

10.
VASP calculation (GGA-PBE) on an optimized crystal structure of Ir4WBr.

Calculated values
**Formation energy from raw total energies**: 91 kJ/mol of atoms

abc: 5.2146 5.2146 5.2146
angles: 60.00 60.00 60.00
Sites, in units of the cell vectors:
Ir: 0.6248 0.6248 0.1255
Br: 0.0000 0.0000 0.0000
W: 0.2500 0.2500 0.2500
Ir: 0.1255 0.6248 0.6248
Ir: 0.6248 0.1255 0.6248
Ir: 0.6248 0.6248 0.6248

***

11.
VASP calculation (GGA-PBE) on an optimized crystal structure of La2Ga2Co.

Calculated values
**Energy of formation**: -0.262 eV/atom

abc: 6.8566 6.8566 4.7936
angles: 90.00 90.00 90.00
Sites, in units of the cell vectors:
Co: 0.0000 0.0000 0.0000
Co: 0.5000 0.5000 0.0000
Ga: 0.1453 0.3547 0.0000
La: 0.1650 0.6650 0.5000
La: 0.8350 0.3350 0.5000
Ga: 0.6453 0.1453 0.0000
Ga: 0.3547 0.8547 0.0000
Ga: 0.8547 0.6453 0.0000
La: 0.3350 0.1650 0.5000
La: 0.6650 0.8350 0.5000

***

12.
VASP calculation (GGA-PBE) on an optimized crystal structure of Sb2Mo.

Calculated values
**Formation energy from raw total energies**: 133 kJ/mol of atoms

abc: 5.9831 5.9831 5.9831
angles: 60.00 60.00 60.00
Sites, in units of the cell vectors:
Sb: 0.6250 0.1250 0.1250
Sb: 0.1250 0.1250 0.6250
Sb: 0.1250 0.6250 0.1250
Sb: 0.1250 0.1250 0.1250
Mo: 0.5000 0.5000 0.5000
Mo: 0.7500 0.7500 0.7500

***

13.
VASP calculation (GGA-PBE) on an optimized crystal structure of Pm6Ge2Te3S.

Calculated values
**Formation energy from raw total energies**: -136 kJ/mol of atoms

abc: 4.3030 8.7761 9.7832
angles: 104.86 102.70 90.00
Sites, in units of the cell vectors:
Pm: 0.6724 0.5674 0.3447
Ge: 0.1656 0.3301 0.3311
Pm: 0.9926 0.7680 0.9852
S: 0.5000 0.0000 0.0000
Pm: 0.0074 0.2320 0.0148
Pm: 0.6601 0.0987 0.3202
Pm: 0.3276 0.4326 0.6553
Te: 0.1661 0.8336 0.3322
Ge: 0.8344 0.6699 0.6689
Te: 0.5000 0.5000 0.0000
Te: 0.8339 0.1664 0.6678
Pm: 0.3399 0.9013 0.6798

***

14.
VASP calculation (GGA-PBE) on an optimized crystal structure of Ce3Al3Ga2.

Calculated values
**Energy of formation**: -0.329 eV/atom

abc: 4.6011 4.6457 8.7031
angles: 105.36 105.33 90.00
Sites, in units of the cell vectors:
Ce: 0.0000 0.0000 0.0000
Ga: 0.2464 0.2465 0.4928
Al: 0.5000 0.5000 0.0000
Ce: 0.1365 0.6373 0.2731
Ga: 0.7536 0.7535 0.5072
Ce: 0.8635 0.3627 0.7269
Al: 0.6401 0.1407 0.2803
Al: 0.3599 0.8593 0.7197

***

15.
VASP calculation (GGA-PBE) on an optimized crystal structure of CeMg2Al6.

Calculated values
**Energy of formation**: -0.127 eV/atom

abc: 3.0452 8.1989 8.7354
angles: 117.99 110.73 90.00
Sites, in units of the cell vectors:
Al: 0.1598 0.6612 0.6611
Mg: 0.6672 0.3333 0.6666
Al: 0.1598 0.9999 0.6611
Al: 0.8402 0.3388 0.3389
Ce: 0.0000 0.0000 0.0000
Al: 0.5000 0.6610 0.0000
Al: 0.5000 0.3390 0.0000
Al: 0.8402 0.0001 0.3389
Mg: 0.3328 0.6667 0.3334

***

16.
VASP calculation (GGA-PBE) on an optimized crystal structure of TbPm6Sm5.

Calculated values
**Energy of formation**: 0.013 eV/atom

abc: 6.2973 6.2965 12.0463
angles: 84.99 79.94 60.00
Sites, in units of the cell vectors:
Sm: 0.5000 0.0000 0.5000
Sm: 0.6668 0.6664 0.0000
Pm: 0.0826 0.3329 0.7507
Pm: 0.9174 0.6671 0.2493
Sm: 0.1665 0.6670 0.5000
Pm: 0.4154 0.6671 0.7507
Tb: 0.0000 0.0000 0.0000
Sm: 0.8335 0.3330 0.5000
Pm: 0.7497 0.0000 0.7505
Pm: 0.2503 0.0000 0.2495
Sm: 0.3332 0.3336 0.0000
Pm: 0.5846 0.3329 0.2493

***

17.
VASP calculation (GGA-PBE) on an optimized crystal structure of LaEr2F11.

Calculated values
**Formation energy from raw total energies**: -335 kJ/mol of atoms

abc: 8.3689 8.8414 8.8414
angles: 71.20 61.75 61.75
Sites, in units of the cell vectors:
La: 0.7500 0.7500 0.7500
F: 0.0000 0.0000 0.0000
F: 0.5297 0.0386 0.6860
F: 0.3439 0.2927 0.4503
Er: 0.8454 0.1881 0.8119
F: 0.6108 0.3010 0.6990
F: 0.2457 0.5386 0.1860
F: 0.6561 0.7073 0.5497
F: 0.0297 0.1860 0.5386
F: 0.5000 0.5000 0.5000
F: 0.4703 0.9614 0.3140
F: 0.1561 0.0497 0.2073
F: 0.9703 0.8140 0.4614
F: 0.8439 0.9503 0.7927
F: 0.7457 0.6860 0.0386
Er: 0.3454 0.3119 0.6881
F: 0.9130 0.4503 0.2927
F: 0.4130 0.7927 0.9503
F: 0.1108 0.1990 0.8010
F: 0.8892 0.8010 0.1990
F: 0.2543 0.3140 0.9614
F: 0.3892 0.6990 0.3010
F: 0.7543 0.4614 0.8140
Er: 0.6546 0.6881 0.3119
F: 0.5870 0.2073 0.0497
Er: 0.1546 0.8119 0.1881
F: 0.0870 0.5497 0.7073
La: 0.2500 0.2500 0.2500

***

18.
VASP calculation (GGA-PBE) on an optimized crystal structure of ZrHg2Se.

Calculated values
**Formation energy from raw total energies**: 8 kJ/mol of atoms

abc: 3.2246 3.2246 9.3503
angles: 90.00 90.00 110.34
Sites, in units of the cell vectors:
Hg: 0.0000 0.0000 0.4994
Hg: 0.0000 0.0000 0.0006
Se: 0.5000 0.5000 0.2500
Zr: 0.5000 0.5000 0.7500

***

19.
VASP calculation (GGA-PBE) on an optimized crystal structure of Sr6Ca2Hg.

Calculated values
**Energy of formation**: -0.087 eV/atom

abc: 4.2694 10.7984 10.7665
angles: 120.10 90.00 90.00
Sites, in units of the cell vectors:
Ca: 0.0000 0.3326 0.6654
Sr: 0.5000 0.3817 0.3815
Sr: 0.5000 0.0002 0.6185
Hg: 0.5000 0.0028 0.0000
Sr: 0.0000 0.2487 0.0000
Sr: 0.0000 0.7530 0.7544
Sr: 0.0000 0.9986 0.2456
Ca: 0.0000 0.6671 0.3346
Sr: 0.5000 0.6153 0.0000

***

20.
VASP calculation (GGA-PBE) on an optimized crystal structure of PmNd2Sc.

Calculated values
**Energy of formation**: 0.131 eV/atom

abc: 5.6714 5.6714 5.6714
angles: 60.00 60.00 60.00
Sites, in units of the cell vectors:
Nd: 0.2500 0.2500 0.2500
Nd: 0.7500 0.7500 0.7500
Pm: 0.0000 0.0000 0.0000
Sc: 0.5000 0.5000 0.5000

***

21.
VASP calculation (GGA-PBE) on an optimized crystal structure of NdNbSe.

Calculated values
**Formation energy from raw total energies**: -75 kJ/mol of atoms

abc: 4.0665 4.0665 7.9602
angles: 90.00 90.00 90.00
Sites, in units of the cell vectors:
Nd: 0.0000 0.5000 0.6494
Se: 0.0000 0.5000 0.2486
Nd: 0.5000 0.0000 0.3506
Nb: 0.0000 0.0000 0.0000
Nb: 0.5000 0.5000 0.0000
Se: 0.5000 0.0000 0.7514

***

22.
VASP calculation (GGA-PBE) on an optimized crystal structure of TiSnPdPt.

Calculated values
**Energy of formation**: -0.650 eV/atom

abc: 4.3519 4.3518 4.7178
angles: 117.47 117.47 90.00
Sites, in units of the cell vectors:
Ti: 0.2500 0.7500 0.5000
Pt: 0.5000 0.5000 0.0000
Sn: 0.7500 0.2500 0.5000
Pd: 0.0000 0.0000 0.0000

***

23.
VASP calculation (GGA-PBE) on an optimized crystal structure of Rb2AgPt2.

Calculated values
**Energy of formation**: 0.132 eV/atom

abc: 7.0135 7.0135 5.4720
angles: 90.00 90.00 90.00
Sites, in units of the cell vectors:
Pt: 0.3706 0.8706 0.0000
Pt: 0.6294 0.1294 0.0000
Pt: 0.8706 0.6294 0.0000
Ag: 0.0000 0.0000 0.0000
Rb: 0.1773 0.6773 0.5000
Pt: 0.1294 0.3706 0.0000
Rb: 0.8227 0.3227 0.5000
Rb: 0.6773 0.8227 0.5000
Ag: 0.5000 0.5000 0.0000
Rb: 0.3227 0.1773 0.5000

***

Number 1: density of states at the Fermi level 0.545 states/eV per atom. Number 2: density of states at the Fermi level 0.800 states/eV per atom. Number 3: density of states at the Fermi level 1.581 states/eV per atom. Number 4: density of states at the Fermi level 0.612 states/eV per atom. Number 5: density of states at the Fermi level 1.082 states/eV per atom. Number 6: density of states at the Fermi level 1.510 states/eV per atom. Number 7: density of states at the Fermi level 0.708 states/eV per atom. Number 8: density of states at the Fermi level 0.237 states/eV per atom. Number 9: density of states at the Fermi level 0.622 states/eV per atom. Number 10: density of states at the Fermi level 1.414 states/eV per atom. Number 11: density of states at the Fermi level 1.497 states/eV per atom. Number 12: density of states at the Fermi level 1.013 states/eV per atom. Number 13: density of states at the Fermi level 0.377 states/eV per atom. Number 14: density of states at the Fermi level 1.640 states/eV per atom. Number 15: density of states at the Fermi level 0.728 states/eV per atom. Number 16: density of states at the Fermi level 1.412 states/eV per atom. Number 17: density of states at the Fermi level 0.933 states/eV per atom. Number 18: density of states at the Fermi level 0.714 states/eV per atom. Number 19: density of states at the Fermi level 1.536 states/eV per atom. Number 20: density of states at the Fermi level 2.098 states/eV per atom. Number 21: density of states at the Fermi level 0.624 states/eV per atom. Number 22: density of states at the Fermi level 0.531 states/eV per atom. Number 23: density of states at the Fermi level 0.567 states/eV per atom.